Entry from Alexandria: LaBiS2Cl after structural relaxation (PBE-GGA). Values from VASP.

Calculated values
Symmetry: No. 123
Distance to the lowest polymorph of the same formula in eV/atom: 0.152
ΔE_f (raw) in eV per atom: -0.5837

Quantum ESPRESSO input file:
```
&SYSTEM
  ibrav = 0, nat = 5, ntyp = 4
/
ATOMIC_SPECIES
S 32.06 S.upf
Cl 35.45 Cl.upf
Bi 208.98 Bi.upf
La 138.91 La.upf
ATOMIC_POSITIONS angstrom
S 0.000 2.680 0.000
S 2.680 0.000 0.000
Cl 0.000 0.000 2.630
Bi 0.000 0.000 0.000
La 2.680 2.680 2.630
CELL_PARAMETERS angstrom
5.359 0.000 0.000
0.000 5.359 0.000
0.000 0.000 5.261
```